1.
! GGA-PBE SrPd3Pt, optimized geometry; values from VASP
&SYSTEM
  ibrav = 0, nat = 5, ntyp = 3
/
ATOMIC_SPECIES
Sr 87.62 Sr.upf
Pd 106.42 Pd.upf
Pt 195.08 Pt.upf
ATOMIC_POSITIONS angstrom
Sr 0.000 0.000 0.000
Pd 0.000 2.491 2.491
Pd 2.491 0.000 2.491
Pd 2.491 2.491 0.000
Pt 2.491 2.491 2.491
CELL_PARAMETERS angstrom
4.982 0.000 0.000
0.000 4.982 0.000
0.000 0.000 4.982
! - energy above the lowest structure with this stoichiometry (meV/atom) = 486
! - space-group type = Pm-3m (221)
! - Fermi-level density of states (states/eV per cell) = 8.08

***

2.
! GGA-PBE LaDy2Te3, optimized geometry; values from VASP
&SYSTEM
  ibrav = 0, nat = 6, ntyp = 3
/
ATOMIC_SPECIES
La 138.91 La.upf
Dy 162.50 Dy.upf
Te 127.60 Te.upf
ATOMIC_POSITIONS angstrom
La 0.000 0.000 0.000
Dy 0.000 0.000 4.545
Dy 0.000 0.000 8.785
Te 2.210 0.000 2.370
Te 0.000 3.136 0.000
Te 0.000 3.136 4.295
CELL_PARAMETERS angstrom
-2.210 3.136 6.665
2.210 -3.136 6.665
2.210 3.136 -6.665
! - energy relative to the elements, uncorrected (eV/atom) = -1.38
! - space-group type = Immm (71)
! - Fermi-level density of states (states/eV per cell) = 3.82